First-principles (PBE-GGA) data for a relaxed structure of Mg2PPb, as listed in Alexandria.

abc: 3.356 3.356 7.803
angles: 90.00 90.00 94.53
Element x y z (fractional)
Mg  0.000  0.000  0.058
Mg  0.000  0.000  0.442
P  0.500  0.500  0.250
Pb  0.500  0.500  0.750

**Energy of formation from the pure elements**: -0.136 eV/atom
**Energy**: -3.21 eV/atom
**Volume**: 21.9 A^3/atom
**DOS at the Fermi energy**: 1.92 states/eV/f.u.

=====

First-principles (PBE-GGA) data for a relaxed structure of LaTbHg4, as listed in Alexandria.

abc: 3.466 5.077 8.733
angles: 90.00 90.00 90.00
Site moments in Bohr magnetons follow the coordinates.
Element x y z (fractional)
La  0.999  0.997  0.498  0.11
Tb  0.999  0.497  0.998  -0.01
Hg  0.499  0.997  0.161  0.00
Hg  0.499  0.997  0.835  0.00
Hg  0.499  0.497  0.670  0.00
Hg  0.499  0.497  0.326  0.00

**Energy of formation from the pure elements**: -0.439 eV/atom
**E above lowest polymorph**: 0 meV/atom
**Energy**: -2.23 eV/atom
**Volume**: 25.6 A^3/atom
**DOS at the Fermi energy**: 3.38 states/eV/f.u.

=====

First-principles (PBE-GGA) data for a relaxed structure of PmTlIn2, as listed in Alexandria.

abc: 6.565 6.645 6.645
angles: 78.26 60.40 60.40
Element x y z (fractional)
Pm  0.250  0.188  0.312
Pm  0.750  0.812  0.688
Tl  0.750  0.208  0.292
Tl  0.250  0.792  0.708
In  0.193  0.307  0.807
In  0.307  0.693  0.193
In  0.807  0.693  0.193
In  0.693  0.307  0.807

**Energy of formation from the pure elements**: -0.346 eV/atom
**E above lowest polymorph**: 58 meV/atom
**Energy**: -3.49 eV/atom
**Volume**: 27.4 A^3/atom
**DOS at the Fermi energy**: 1.78 states/eV/f.u.

=====

First-principles (PBE-GGA) data for a relaxed structure of LaLuGe2, as listed in Alexandria.

abc: 3.790 3.790 6.572
angles: 90.00 90.00 90.00
Element x y z (fractional)
Ge  0.000  0.000  0.795
Ge  0.000  0.000  0.205
Lu  0.500  0.500  0.000
La  0.500  0.500  0.500

**Energy of formation from the pure elements**: -0.677 eV/atom
**Energy**: -5.35 eV/atom
**Volume**: 23.6 A^3/atom
**DOS at the Fermi energy**: 2.87 states/eV/f.u.

=====

First-principles (PBE-GGA) data for a relaxed structure of Nd6HoCd2, as listed in Alexandria.

abc: 3.831 6.770 11.985
angles: 75.67 80.80 73.57
Element x y z (fractional)
Nd  0.684  0.509  0.123
Nd  0.316  0.491  0.877
Nd  0.311  0.789  0.589
Nd  0.979  0.706  0.336
Nd  0.021  0.294  0.664
Nd  0.689  0.211  0.411
Ho  0.000  0.000  0.000
Cd  0.358  0.087  0.197
Cd  0.642  0.913  0.803

**Energy of formation from the pure elements**: -0.131 eV/atom
**E above lowest polymorph**: 0 meV/atom
**Energy**: -4.02 eV/atom
**Volume**: 31.9 A^3/atom
**DOS at the Fermi energy**: 9.28 states/eV/f.u.

=====

First-principles (PBE-GGA) data for a relaxed structure of U4CS3, as listed in Alexandria.

abc: 6.457 6.616 7.626
angles: 90.00 90.00 109.78
Site moments in Bohr magnetons follow the coordinates.
Element x y z (fractional)
C  0.750  0.000  0.875  -0.11
C  0.250  0.000  0.125  -0.11
U  0.986  0.237  0.640  1.75
U  0.501  0.223  0.888  1.74
U  0.486  0.237  0.360  1.75
U  0.001  0.223  0.112  1.74
U  0.999  0.777  0.888  1.74
U  0.514  0.763  0.640  1.75
U  0.499  0.777  0.112  1.74
U  0.014  0.763  0.360  1.75
S  0.750  0.000  0.376  -0.06
S  0.250  0.000  0.624  -0.06
S  0.750  0.500  0.623  -0.06
S  0.750  0.500  0.125  -0.06
S  0.250  0.500  0.377  -0.06
S  0.250  0.500  0.875  -0.06

**E above lowest polymorph**: 0 meV/atom
**Energy**: -9.39 eV/atom
**Volume**: 19.2 A^3/atom
**Uncorrected formation energy**: -1.04 eV per atom
**DOS at the Fermi energy**: 17.98 states/eV/f.u.

=====

First-principles (PBE-GGA) data for a relaxed structure of Er2BiP, as listed in Alexandria.

abc: 3.986 3.986 7.930
angles: 75.44 75.44 60.00
Element x y z (fractional)
Er  0.067  0.067  0.798
Er  0.266  0.266  0.203
Bi  0.499  0.499  0.503
P  0.668  0.668  0.996

**Energy of formation from the pure elements**: -1.096 eV/atom
**Energy**: -5.70 eV/atom
**Volume**: 26.1 A^3/atom
**DOS at the Fermi energy**: 3.87 states/eV/f.u.

=====

First-principles (PBE-GGA) data for a relaxed structure of Li2MgAg2Cl6, as listed in Alexandria.

abc: 6.457 6.457 6.756
angles: 96.24 96.24 119.19
Element x y z (fractional)
Li  0.333  0.667  0.500
Li  0.667  0.333  0.500
Mg  0.000  0.000  0.500
Ag  0.857  0.143  0.000
Ag  0.143  0.857  0.000
Cl  0.722  0.722  0.703
Cl  0.035  0.367  0.717
Cl  0.278  0.278  0.297
Cl  0.367  0.035  0.717
Cl  0.965  0.633  0.283
Cl  0.633  0.965  0.283

**Energy**: -3.32 eV/atom
**Volume**: 21.8 A^3/atom
**Uncorrected formation energy**: -1.30 eV per atom
**DOS at the Fermi energy**: 0.00 states/eV/f.u.

=====

First-principles (PBE-GGA) data for a relaxed structure of Dy2Cu2P3, as listed in Alexandria.

abc: 3.950 7.510 9.048
angles: 81.84 77.39 74.75
Element x y z (fractional)
Dy  0.263  0.132  0.341
Dy  0.737  0.868  0.659
Dy  0.395  0.269  0.941
Dy  0.605  0.731  0.059
Cu  0.048  0.222  0.682
Cu  0.952  0.778  0.318
Cu  0.412  0.522  0.653
Cu  0.588  0.478  0.347
P  0.077  0.968  0.877
P  0.923  0.032  0.123
P  0.160  0.490  0.191
P  0.840  0.510  0.809
P  0.386  0.765  0.462
P  0.614  0.235  0.538

**Energy of formation from the pure elements**: -0.959 eV/atom
**Energy**: -5.76 eV/atom
**Volume**: 18.0 A^3/atom
**DOS at the Fermi energy**: 0.55 states/eV/f.u.

=====

First-principles (PBE-GGA) data for a relaxed structure of TlCo2W, as listed in Alexandria.

abc: 4.578 4.578 2.822
angles: 90.02 90.02 100.38
Site moments in Bohr magnetons follow the coordinates.
Element x y z (fractional)
Co  0.000  0.000  0.000  0.20
Co  0.500  0.500  0.000  0.20
Tl  0.500  0.000  0.500  -0.01
W  0.000  0.500  0.500  0.01

**Energy of formation from the pure elements**: 0.580 eV/atom
**E above lowest polymorph**: 228 meV/atom
**Energy**: -6.80 eV/atom
**Volume**: 14.5 A^3/atom
**DOS at the Fermi energy**: 3.44 states/eV/f.u.

=====

First-principles (PBE-GGA) data for a relaxed structure of ReGe3F, as listed in Alexandria.

abc: 4.780 4.780 4.780
angles: 90.00 90.00 90.00
Element x y z (fractional)
Re  0.000  0.000  0.000
Ge  0.000  0.500  0.000
Ge  0.000  0.000  0.500
Ge  0.500  0.000  0.000
F  0.500  0.500  0.500

**E above lowest polymorph**: 0 meV/atom
**Energy**: -5.92 eV/atom
**Volume**: 21.8 A^3/atom
**Uncorrected formation energy**: -0.29 eV per atom
**DOS at the Fermi energy**: 0.00 states/eV/f.u.

=====

First-principles (PBE-GGA) data for a relaxed structure of Tb3FeCo3, as listed in Alexandria.

abc: 4.022 5.593 12.722
angles: 84.52 80.90 68.93
Site moments in Bohr magnetons follow the coordinates.
Element x y z (fractional)
Tb  0.523  0.330  0.624  -0.22
Tb  0.477  0.670  0.376  -0.22
Tb  0.257  0.258  0.229  -0.18
Tb  0.743  0.742  0.771  -0.18
Tb  0.392  0.291  0.924  -0.10
Tb  0.608  0.709  0.076  -0.10
Fe  0.758  0.066  0.418  2.49
Fe  0.242  0.934  0.582  2.49
Co  0.875  0.708  0.542  1.19
Co  0.125  0.292  0.458  1.19
Co  0.097  0.882  0.923  0.38
Co  0.903  0.118  0.077  0.38
Co  0.944  0.877  0.235  0.56
Co  0.056  0.123  0.765  0.56

**Energy of formation from the pure elements**: -0.147 eV/atom
**Energy**: -6.39 eV/atom
**Volume**: 18.8 A^3/atom
**DOS at the Fermi energy**: 7.01 states/eV/f.u.